# 1
Entry from the Alexandria database: SrTa2Re after structural relaxation (GGA-PBE).

The structure in POSCAR format:
```
SrTa2Re
1.0
3.329 0.000 0.000
0.000 3.840 0.000
0.000 0.000 7.343
Re Sr Ta
1 1 2
Cartesian
0.000 0.000 3.041 Re
1.664 1.920 5.432 Sr
0.000 0.000 0.615 Ta
1.664 1.920 1.926 Ta
```

Results
- formation energy from the elements (eV per atom) = 0.549
- density of states at the Fermi level (states/eV per cell) = 4.4
- magnetic moment (μB/atom) = 0.0000
- space-group type = Pmm2, No. 25
- excess energy over the best structure of this formula in the dataset (meV per atom) = 72
- E (eV/atom) = -8.910

***

# 2
Entry from the Alexandria database: Ho3RuO7 after structural relaxation (GGA-PBE).

The structure in POSCAR format:
```
Ho3RuO7
1.0
-3.989 -1.404 -4.842
-3.216 -0.512 5.542
-1.934 7.102 -0.466
Ho Ru O
6 2 14
Cartesian
-4.344 2.653 0.095 Ho
-3.828 -1.018 0.372 Ho
-5.850 0.557 2.817 Ho
-3.314 4.722 -2.589 Ho
-7.149 3.602 -2.207 Ho
-1.965 1.490 2.448 Ho
-0.967 3.551 -0.233 Ru
-7.205 -1.916 0.701 Ru
-6.822 2.374 1.633 O
-1.499 -0.191 -1.201 O
-6.868 1.600 -0.956 O
-3.089 6.587 0.993 O
-2.390 3.451 1.176 O
-5.881 -1.454 -0.732 O
-2.482 2.869 -1.356 O
-7.526 5.504 1.381 O
-3.986 0.933 1.585 O
-5.154 4.252 -1.350 O
-4.193 0.694 -1.203 O
-4.946 4.491 1.437 O
-4.417 0.436 -4.208 O
-4.723 4.750 4.442 O
```

Results
- density of states at the Fermi level (states/eV per cell) = 1.1
- magnetic moment (μB/atom) = 0.2732
- space-group type = C222_1, No. 20
- formation energy without anion corrections (eV/f.u.) = -30.4
- E (eV/atom) = -8.013

***

# 3
Entry from the Alexandria database: Sc2TaHgH after structural relaxation (GGA-PBE).

The structure in POSCAR format:
```
Sc2TaHgH
1.0
-1.104 3.568 2.408
2.362 -1.576 3.419
3.397 2.010 -1.420
Sc H Hg Ta
2 1 1 1
Cartesian
1.181 -0.788 1.709 Sc
-0.552 1.784 1.204 Sc
0.000 0.000 0.000 H
2.328 2.001 2.203 Hg
1.699 1.005 -0.710 Ta
```

Results
- density of states at the Fermi level (states/eV per cell) = 3.9
- magnetic moment (μB/atom) = 0.0000
- space-group type = P4/mmm, No. 123
- E (eV/atom) = -5.771

***

# 4
Entry from the Alexandria database: CuSn2O2 after structural relaxation (GGA-PBE).

The structure in POSCAR format:
```
CuSn2O2
1.0
3.676 0.000 0.000
0.000 3.676 0.000
1.838 1.838 6.409
O Sn Cu
2 2 1
Cartesian
3.676 1.838 3.205 O
1.838 3.676 3.205 O
1.838 1.838 1.964 Sn
3.676 3.676 4.445 Sn
0.000 0.000 0.000 Cu
```

Results
- density of states at the Fermi level (states/eV per cell) = 1.4
- magnetic moment (μB/atom) = 0.0000
- space-group type = I4/mmm, No. 139
- excess energy over the best structure of this formula in the dataset (meV per atom) = 0
- formation energy without anion corrections (eV/f.u.) = -3.3
- E (eV/atom) = -5.064

***

# 5
Entry from the Alexandria database: Gd4Tl2O after structural relaxation (GGA-PBE).

The structure in POSCAR format:
```
Gd4Tl2O
1.0
-0.537 2.329 4.061
-4.631 0.334 -0.804
-3.797 -5.893 5.612
Tl Gd O
2 4 1
Cartesian
-6.046 -2.567 6.141 Tl
-2.919 -0.663 2.729 Tl
-5.587 0.168 4.634 Gd
-3.378 -3.398 4.236 Gd
-2.316 0.167 -0.402 Gd
-0.268 1.165 2.031 Gd
0.000 0.000 0.000 O
```

Results
- density of states at the Fermi level (states/eV per cell) = 7.5
- magnetic moment (μB/atom) = 4.0478
- space-group type = I4/mmm, No. 139
- formation energy without anion corrections (eV/f.u.) = -7.2
- E (eV/atom) = -10.465

***

# 6
Entry from the Alexandria database: Pr8GeP3Br4 after structural relaxation (GGA-PBE).

The structure in POSCAR format:
```
Pr8GeP3Br4
1.0
-6.743 5.063 0.797
-4.694 -5.435 -5.189
3.728 -3.205 6.897
Pr Ge P Br
8 1 3 4
Cartesian
-1.318 -5.720 3.196 Pr
-3.139 -4.154 -0.174 Pr
-1.212 -1.982 2.334 Pr
-4.613 -3.246 3.585 Pr
-3.097 -0.332 -1.081 Pr
-6.497 -1.596 0.170 Pr
-4.570 0.576 2.679 Pr
-6.392 2.142 -0.691 Pr
-2.347 -2.718 -2.595 Ge
-5.719 -0.186 -2.196 P
-3.855 -1.789 1.252 P
-0.483 -4.320 0.854 P
-3.371 2.531 0.399 Br
-1.507 0.929 3.847 Br
0.000 0.000 0.000 Br
1.864 -1.603 3.448 Br
```

Results
- density of states at the Fermi level (states/eV per cell) = 6.6
- magnetic moment (μB/atom) = 0.0000
- space-group type = R-3m, No. 166
- formation energy without anion corrections (eV/f.u.) = -22.7
- E (eV/atom) = -5.532

***

# 7
Entry from the Alexandria database: TbCe3Y3S8 after structural relaxation (GGA-PBE).

The structure in POSCAR format:
```
TbCe3Y3S8
1.0
-3.918 -6.267 2.779
7.887 -0.120 -0.369
-3.631 4.652 5.372
Tb Ce Y S
1 3 3 8
Cartesian
-1.815 2.326 2.686 Tb
0.000 0.000 0.000 Ce
3.943 -0.060 -0.185 Ce
1.985 -3.193 1.205 Ce
-3.774 -0.807 4.075 Y
0.169 -0.867 3.891 Y
2.128 2.266 2.501 Y
2.060 -0.436 1.919 S
-1.722 -1.298 5.862 S
0.088 -3.568 3.295 S
0.250 1.834 4.486 S
-3.831 -3.509 3.478 S
4.169 1.775 4.303 S
-1.884 -0.394 2.097 S
2.222 -1.340 5.684 S
```

Results
- density of states at the Fermi level (states/eV per cell) = 18.8
- magnetic moment (μB/atom) = 0.2257
- space-group type = R-3m, No. 166
- formation energy without anion corrections (eV/f.u.) = -30.8
- E (eV/atom) = -7.041

***

# 8
Entry from the Alexandria database: YBiF2 after structural relaxation (GGA-PBE).

The structure in POSCAR format:
```
YBiF2
1.0
-3.296 4.322 0.256
-3.033 -2.075 -4.013
-6.907 -1.994 2.563
Y Bi F
2 2 4
Cartesian
-3.164 1.123 -1.878 Y
-6.552 -1.473 -1.664 Y
0.000 0.000 0.000 Bi
-6.684 1.725 0.471 Bi
-3.341 0.861 0.235 F
-4.859 -0.174 -1.771 F
-8.313 -1.173 -0.491 F
-9.959 0.989 -0.360 F
```

Results
- density of states at the Fermi level (states/eV per cell) = 1.7
- magnetic moment (μB/atom) = 0.0000
- space-group type = I4_1/amd, No. 141
- excess energy over the best structure of this formula in the dataset (meV per atom) = 236
- formation energy without anion corrections (eV/f.u.) = -9.4
- E (eV/atom) = -5.868

***

# 9
Entry from the Alexandria database: LiTlSnPd after structural relaxation (GGA-PBE).

The structure in POSCAR format:
```
LiTlSnPd
1.0
-3.898 -1.664 -2.247
-1.529 -4.468 0.841
-4.057 -0.724 2.455
Tl Sn Pd Li
1 1 1 1
Cartesian
-7.113 -5.142 0.787 Tl
-2.371 -1.714 0.262 Sn
-4.742 -3.428 0.525 Pd
0.000 0.000 0.000 Li
```

Results
- formation energy from the elements (eV per atom) = -0.292
- density of states at the Fermi level (states/eV per cell) = 1.8
- magnetic moment (μB/atom) = 0.0000
- space-group type = F-43m, No. 216
- E (eV/atom) = -3.661

***

# 10
Entry from the Alexandria database: RbUTe2Br after structural relaxation (GGA-PBE).

The structure in POSCAR format:
```
RbUTe2Br
1.0
-2.665 3.250 -1.534
-7.809 -5.647 1.601
1.145 4.949 8.495
Rb U Te Br
2 2 4 2
Cartesian
-6.010 -1.725 3.523 Rb
-3.319 4.277 5.038 Rb
-6.281 0.176 8.019 U
-3.048 2.376 0.542 U
-8.068 0.662 5.629 Te
-8.470 -2.053 0.578 Te
-1.261 1.890 2.932 Te
-0.859 4.605 7.984 Te
-4.085 1.432 6.867 Br
-5.244 1.120 1.695 Br
```

Results
- density of states at the Fermi level (states/eV per cell) = 12.6
- magnetic moment (μB/atom) = 0.4000
- space-group type = P2_1/m, No. 11
- formation energy without anion corrections (eV/f.u.) = -5.2
- E (eV/atom) = -5.075

***

# 11
Entry from the Alexandria database: Li2IrW after structural relaxation (GGA-PBE).

The structure in POSCAR format:
```
Li2IrW
1.0
-2.676 -4.394 -0.178
1.856 2.238 -4.248
2.236 -1.372 0.254
Ir Li W
1 2 1
Cartesian
2.046 0.433 -1.997 Ir
0.000 0.000 0.000 Li
-0.410 -1.078 -2.213 Li
-0.220 -2.883 0.038 W
```

Results
- formation energy from the elements (eV per atom) = 0.282
- density of states at the Fermi level (states/eV per cell) = 3.6
- magnetic moment (μB/atom) = 0.0001
- space-group type = Cmmm, No. 65
- E (eV/atom) = -6.129

***

# 12
Entry from the Alexandria database: Ce2Pr7Er2 after structural relaxation (GGA-PBE).

The structure in POSCAR format:
```
Ce2Pr7Er2
1.0
-5.714 -1.358 -5.680
-3.015 -5.720 4.995
-5.113 2.488 2.310
Ce Pr Er
2 7 2
Cartesian
-6.154 -3.534 3.844 Ce
-7.687 -1.056 -2.220 Ce
-4.483 -0.745 -2.516 Pr
-10.732 -1.624 -1.295 Pr
-9.358 -3.845 4.140 Pr
-3.109 -2.966 2.919 Pr
0.000 0.000 0.000 Pr
-7.676 -0.891 1.576 Pr
-6.165 -3.699 0.047 Pr
-9.727 -4.071 0.796 Er
-4.114 -0.520 0.828 Er
```

Results
- formation energy from the elements (eV per atom) = 0.189
- density of states at the Fermi level (states/eV per cell) = 24.5
- magnetic moment (μB/atom) = 0.1803
- space-group type = C2/m, No. 12
- E (eV/atom) = -4.761